Record 1
The following is a DFT calculation (PBE-GGA) of a relaxed structure of Be3Te.

Summary:
Its calculated volume is 14.19 Å³ per atom. Its formation energy without anion corrections is 13.4 kcal/mol of atoms. Its density of states at the Fermi level is 2.37 states/eV/cell. Its energy above the most stable polymorph in this dataset is 0.374 eV per atom. The uncorrected energy is -2.999 eV/atom.

POSCAR file:
```
Be3Te
1.0
2.9739 -5.1510 0.0000
2.9739 5.1510 0.0000
0.0000 0.0000 3.7056
Be Te
6 2
direct
0.2501 0.1250 0.2500
0.8750 0.1250 0.2500
0.1250 0.8750 0.7500
0.7499 0.8750 0.7500
0.1250 0.2501 0.7500
0.8750 0.7499 0.2500
0.6667 0.3333 0.7500
0.3333 0.6667 0.2500
```

Record 2
The following is a DFT calculation (PBE-GGA) of a relaxed structure of RbY2N2.

Summary:
Its calculated volume is 16.77 Å³ per atom. Its formation energy without anion corrections is -2.4 kcal/mol of atoms. Its density of states at the Fermi level is 5.37 states/eV/cell. Its energy above the most stable polymorph in this dataset is 0.644 eV per atom. The uncorrected energy is -6.214 eV/atom.

POSCAR file:
```
RbY2N2
1.0
7.1651 0.0000 0.0000
0.0000 7.1651 0.0000
0.0000 0.0000 3.2662
Rb N Y
2 4 4
direct
0.0000 0.0000 0.0000
0.5000 0.5000 0.0000
0.3524 0.8524 0.0000
0.1476 0.3524 0.0000
0.8524 0.6476 0.0000
0.6476 0.1476 0.0000
0.1456 0.6456 0.5000
0.6456 0.8544 0.5000
0.8544 0.3544 0.5000
0.3544 0.1456 0.5000
```

Record 3
The following is a DFT calculation (PBE-GGA) of a relaxed structure of Tb3Pr2NdEr6.

Summary:
Its calculated volume is 32.03 Å³ per atom. The energy of formation from the pure elements comes out at 0.019 eV/atom. Its density of states at the Fermi level is 14.53 states/eV/cell. The uncorrected energy is -4.614 eV/atom.

POSCAR file:
```
Tb3Pr2NdEr6
1.0
-4.2087 -3.8959 -2.3347
4.9190 -2.2178 3.0376
-6.1628 2.4824 9.6954
Tb Er Nd Pr
3 6 1 2
direct
0.8333 0.1667 0.5000
0.5000 0.5000 0.5000
0.1667 0.8333 0.5000
0.4182 0.0851 0.2535
0.0851 0.4182 0.2535
0.9149 0.5818 0.7465
0.2481 0.2481 0.7464
0.5818 0.9149 0.7465
0.7519 0.7519 0.2536
0.0000 0.0000 0.0000
0.6667 0.3333 0.0000
0.3333 0.6667 0.0000
```

Record 4
The following is a DFT calculation (PBE-GGA) of a relaxed structure of Sr2N2F.

Summary:
Its calculated volume is 16.35 Å³ per atom. Its formation energy without anion corrections is -32.7 kcal/mol of atoms. Its density of states at the Fermi level is 5.78 states/eV/cell. Its energy above the most stable polymorph in this dataset is 0.099 eV per atom. The uncorrected energy is -5.797 eV/atom.

POSCAR file:
```
Sr2N2F
1.0
6.8904 0.0000 0.0000
0.0000 6.8904 0.0000
0.0000 0.0000 3.4433
N Sr F
4 4 2
direct
0.4293 0.0707 0.5000
0.9293 0.4293 0.5000
0.0707 0.5707 0.5000
0.5707 0.9293 0.5000
0.1975 0.3025 0.0000
0.3025 0.8025 0.0000
0.8025 0.6975 0.0000
0.6975 0.1975 0.0000
0.5000 0.5000 0.0000
0.0000 0.0000 0.0000
```

Record 5
The following is a DFT calculation (PBE-GGA) of a relaxed structure of YGePd2.

Summary:
Its calculated volume is 20.46 Å³ per atom. The energy of formation from the pure elements comes out at -0.477 eV/atom. Its density of states at the Fermi level is 5.49 states/eV/cell. The uncorrected energy is -5.844 eV/atom.

POSCAR file:
```
YGePd2
1.0
-4.1078 -0.3009 -1.1744
-1.0997 -0.8217 4.0570
-3.6669 8.1738 2.9222
Y Pd Ge
2 4 2
direct
0.0000 0.0000 0.0000
0.7500 0.2500 0.5000
0.3750 0.4269 0.7500
0.8750 0.8231 0.7500
0.1769 0.6250 0.2500
0.5731 0.1250 0.2500
0.2500 0.7500 0.5000
0.5000 0.5000 0.0000
```

Record 6
The following is a DFT calculation (PBE-GGA) of a relaxed structure of LaScTaSi2.

Summary:
Its calculated volume is 23.67 Å³ per atom. Its formation energy without anion corrections is 13.5 kcal/mol of atoms. Its density of states at the Fermi level is 4.48 states/eV/cell. The uncorrected energy is -6.206 eV/atom.

POSCAR file:
```
LaScTaSi2
1.0
4.9504 0.0000 0.0000
0.0000 4.8293 0.0000
0.0000 0.0000 4.9504
Si Ta La Sc
2 1 1 1
direct
0.5000 0.0000 0.0000
0.0000 0.0000 0.5000
0.0000 0.5000 0.0000
0.5000 0.5000 0.5000
0.0000 0.0000 0.0000
```

> What is the calculated volume in the sixth record?

23.67 Å³ per atom

> uncorrected energy of number 6 (LaScTaSi2)?

-6.206 eV/atom